No. 1
PBE Ni7Pd3Pt2, optimized geometry; energy above the most stable polymorph in this dataset = 0.00 eV per formula unit; formation enthalpy at 0 K = 1.70 eV/f.u.; space group = P2/m
1.0
2.682 0.000 0.000
0.000 4.165 -0.446
0.000 1.007 14.361
Ni Pd Pt
7 3 2
Cartesian
1.341 3.565 6.272 Ni
1.341 1.607 7.643 Ni
0.000 3.043 1.704 Ni
0.000 0.000 0.000 Ni
0.000 2.130 12.211 Ni
1.341 4.188 11.654 Ni
1.341 0.984 2.261 Ni
1.341 2.083 -0.223 Pd
0.000 1.359 5.345 Pd
0.000 3.814 8.570 Pd
1.341 3.297 3.779 Pt
1.341 1.876 10.136 Pt



No. 2
PBE Li3Zr2MnSe6, optimized geometry; space group = C2/m; formation energy without anion corrections = -13.99 eV/f.u.
1.0
-0.765 4.757 4.538
3.681 -5.326 1.374
4.276 3.226 -4.271
Li Zr Mn Se
3 2 1 6
Cartesian
5.065 -2.003 -0.224 Li
2.128 4.659 1.866 Li
3.597 1.328 0.821 Li
2.196 -1.956 2.432 Zr
0.721 1.387 3.481 Zr
0.000 0.000 0.000 Mn
4.683 3.677 1.752 Se
3.249 0.370 3.385 Se
2.510 -1.020 -0.111 Se
6.158 0.333 0.703 Se
3.944 2.286 -1.744 Se
1.036 2.324 0.938 Se



No. 3
PBE Nd2SmDy2Ho4, optimized geometry; formation enthalpy at 0 K = -0.03 eV/f.u.; space group = C2/m
1.0
-0.279 -3.582 -0.297
0.625 0.980 9.455
-8.806 0.987 -3.631
Nd Sm Dy Ho
2 1 2 4
Cartesian
0.324 -0.541 6.213 Nd
-8.784 -1.073 -0.686 Nd
0.000 0.000 0.000 Sm
-2.766 -2.030 5.195 Dy
-5.693 0.416 0.332 Dy
-5.674 -1.646 3.292 Ho
-2.786 0.031 2.235 Ho
-3.080 -1.491 -1.007 Ho
-5.379 -0.124 6.534 Ho



No. 4
PBE NaMg3Ge2, optimized geometry; formation enthalpy at 0 K = -1.12 eV/f.u.; space group = Immm
1.0
4.383 0.000 1.207
1.204 7.179 4.192
0.045 0.082 8.400
Na Mg Ge
2 6 4
Cartesian
3.986 0.919 2.649 Na
1.646 6.342 11.149 Na
2.040 3.445 9.717 Mg
4.806 2.401 8.232 Mg
3.122 0.938 5.788 Mg
2.510 6.323 8.010 Mg
0.825 4.861 5.566 Mg
3.592 3.817 4.080 Mg
2.412 1.157 8.366 Ge
3.220 6.105 5.432 Ge
4.418 4.997 9.643 Ge
1.214 2.265 4.154 Ge



No. 5
PBE H2PdN, optimized geometry; energy above the most stable polymorph in this dataset = 1.89 eV per formula unit; space group = R-3m
1.0
-1.294 -2.435 -0.056
0.889 -1.995 -1.683
2.460 -2.928 2.509
H Pd N
2 1 1
Cartesian
1.330 -2.296 1.164 H
0.724 -5.062 -0.394 H
0.000 0.000 0.000 Pd
1.027 -3.679 0.385 N



No. 6
PBE InOsPt3, optimized geometry; energy above the most stable polymorph in this dataset = 0.00 eV per formula unit; formation enthalpy at 0 K = 5.08 eV/f.u.; space group = Pm-3m
1.0
4.867 0.000 0.000
0.000 4.867 0.000
0.000 0.000 4.867
Os Pt In
1 3 1
Cartesian
0.000 0.000 0.000 Os
0.000 2.433 0.000 Pt
0.000 0.000 2.433 Pt
2.433 0.000 0.000 Pt
2.433 2.433 2.433 In



No. 7
PBE Na2BeInW, optimized geometry; formation enthalpy at 0 K = 7.23 eV/f.u.; space group = P4/mmm
1.0
5.291 0.000 0.000
0.000 4.791 0.000
0.000 0.000 5.291
Na Be W In
2 1 1 1
Cartesian
0.000 0.000 2.646 Na
2.646 0.000 0.000 Na
0.000 0.000 0.000 Be
2.646 2.395 2.646 W
0.000 2.395 0.000 In



No. 8
PBE ZnCoSe2N, optimized geometry; energy above the most stable polymorph in this dataset = 0.00 eV per formula unit; space group = P4/mmm; formation energy without anion corrections = 1.63 eV/f.u.
1.0
4.979 0.000 0.000
0.000 4.979 0.000
0.000 0.000 3.366
Zn Co Se N
1 1 2 1
Cartesian
2.489 2.489 1.683 Zn
0.000 0.000 0.000 Co
0.000 2.489 0.000 Se
2.489 0.000 0.000 Se
0.000 0.000 1.683 N



No. 9
PBE Er4Tl3Cd, optimized geometry; energy above the most stable polymorph in this dataset = 0.00 eV per formula unit; formation enthalpy at 0 K = -2.54 eV/f.u.; space group = P4/mmm
1.0
3.749 0.000 0.000
0.000 3.749 0.000
0.000 0.000 15.047
Tl Cd Er
3 1 4
Cartesian
1.874 1.874 3.685 Tl
1.874 1.874 7.523 Tl
1.874 1.874 11.362 Tl
1.874 1.874 0.000 Cd
0.000 0.000 13.243 Er
0.000 0.000 1.804 Er
0.000 0.000 5.603 Er
0.000 0.000 9.444 Er



No. 10
PBE YPaAl2, optimized geometry; energy above the most stable polymorph in this dataset = 0.44 eV per formula unit; formation enthalpy at 0 K = -0.55 eV/f.u.; space group = P4/mmm
1.0
4.227 0.000 0.000
0.000 4.666 0.000
0.000 0.000 4.666
Y Pa Al
1 1 2
Cartesian
2.113 0.000 0.000 Y
2.113 2.333 2.333 Pa
0.000 0.000 2.333 Al
0.000 2.333 0.000 Al



No. 11
PBE Rb2Bi2Pb15, optimized geometry; formation enthalpy at 0 K = -0.50 eV/f.u.; space group = R-3m
1.0
8.844 0.060 0.053
1.207 8.762 0.053
1.207 1.059 8.698
Rb Bi Pb
2 2 15
Cartesian
3.818 3.351 2.986 Rb
7.440 6.530 5.818 Rb
1.071 0.940 0.838 Bi
10.186 8.940 7.966 Bi
4.422 0.030 0.027 Pb
0.603 0.529 4.349 Pb
0.603 4.381 0.027 Pb
1.207 6.475 2.619 Pb
6.577 2.643 0.053 Pb
3.474 0.762 6.131 Pb
3.474 6.178 0.053 Pb
6.577 0.356 2.619 Pb
1.207 3.346 6.131 Pb
2.944 6.432 5.731 Pb
6.760 5.933 1.412 Pb
6.760 2.084 5.731 Pb
8.313 3.448 3.072 Pb
4.497 3.947 7.391 Pb
4.497 7.796 3.072 Pb



No. 12
PBE TaCu2Re, optimized geometry; energy above the most stable polymorph in this dataset = 0.54 eV per formula unit; formation enthalpy at 0 K = 0.95 eV/f.u.; space group = R3m
1.0
-1.708 -1.996 8.688
1.047 -1.928 8.808
-0.402 0.406 9.059
Cu Re Ta
2 1 1
Cartesian
-1.058 -3.499 26.412 Cu
-0.269 -0.889 6.713 Cu
-0.538 -1.778 13.425 Re
-0.794 -2.628 19.836 Ta



No. 13
PBE LaFeP2, optimized geometry; energy above the most stable polymorph in this dataset = 1.73 eV per formula unit; formation enthalpy at 0 K = -1.75 eV/f.u.; space group = Cmmm
1.0
3.554 -0.006 0.000
-1.278 3.316 0.000
0.000 0.000 6.509
Fe La P
1 1 2
Cartesian
1.138 1.655 1.627 Fe
1.138 1.655 4.881 La
0.000 0.000 0.432 P
0.000 0.000 2.823 P



No. 14
PBE LaPm2NdHo, optimized geometry; formation enthalpy at 0 K = 1.31 eV/f.u.; space group = P2/c
1.0
6.483 0.000 0.000
0.000 9.155 0.101
0.000 -2.267 6.066
La Pm Nd Ho
2 4 2 2
Cartesian
0.000 0.000 0.000 La
0.000 -1.134 3.033 La
4.387 4.347 5.166 Pm
4.387 1.407 4.035 Pm
2.096 5.481 2.132 Pm
2.096 2.540 1.001 Pm
1.054 2.877 4.600 Nd
5.429 4.011 1.567 Nd
3.272 -0.567 1.517 Ho
3.211 -1.700 4.550 Ho



No. 15
PBE K2BeSi, optimized geometry; energy above the most stable polymorph in this dataset = 2.88 eV per formula unit; space group = I4/mmm; formation energy without anion corrections = 3.54 eV/f.u.
1.0
6.151 0.000 0.000
2.892 5.429 0.000
-4.521 -2.714 3.166
Be K Si
1 2 1
Cartesian
3.076 0.000 1.583 Be
0.000 0.000 0.000 K
4.521 2.714 0.000 K
1.446 2.714 1.583 Si



No. 16
PBE Tm3Be2Ge3, optimized geometry; formation enthalpy at 0 K = -4.72 eV/f.u.; space group = Cmcm
1.0
-0.914 0.152 3.898
3.427 -4.359 -1.085
10.970 8.064 2.258
Tm Be Ge
6 4 6
Cartesian
6.358 -0.469 3.569 Tm
10.167 6.562 2.128 Tm
3.316 -2.705 2.943 Tm
7.126 4.327 1.502 Tm
3.134 0.868 2.760 Tm
10.349 2.989 2.311 Tm
11.011 4.962 4.448 Be
5.697 1.266 1.287 Be
7.786 2.592 3.784 Be
2.472 -1.105 0.623 Be
5.371 2.576 3.218 Ge
12.644 4.613 2.786 Ge
0.839 -0.755 2.285 Ge
8.112 1.281 1.853 Ge
4.821 -0.980 1.169 Ge
8.663 4.838 3.902 Ge



No. 17
PBE HgPdF2, optimized geometry; energy above the most stable polymorph in this dataset = 0.35 eV per formula unit; space group = I-42d; formation energy without anion corrections = -2.94 eV/f.u.
1.0
-1.875 1.227 6.870
-6.907 0.688 -2.008
-4.766 -1.713 2.806
Hg Pd F
2 2 4
Cartesian
0.000 0.000 0.000 Hg
-5.516 0.236 6.053 Hg
-4.391 0.958 2.431 Pd
-8.032 -0.034 1.614 Pd
-3.021 0.290 3.988 F
-5.949 0.290 1.061 F
-7.629 -0.491 3.706 F
-10.499 0.315 6.579 F



No. 18
PBE PmPaS2N, optimized geometry; space group = P4/nmm; formation energy without anion corrections = -9.59 eV/f.u.
1.0
-3.063 -0.918 -2.210
2.393 -1.221 -2.810
-0.106 -12.526 5.351
Pm Pa S N
2 2 4 2
Cartesian
-1.543 -1.783 -0.539 Pm
1.102 -11.812 3.381 Pm
-1.594 -7.842 2.049 Pa
1.153 -5.754 0.792 Pa
1.124 -9.192 2.261 S
1.185 -1.984 -0.818 S
-1.626 -11.611 3.659 S
-1.565 -4.403 0.580 S
-0.053 -6.263 2.676 N
-0.388 -7.332 0.166 N



No. 19
PBE AlRuPb, optimized geometry; formation enthalpy at 0 K = 0.47 eV/f.u.; space group = F-43m
1.0
-4.043 0.432 1.764
-0.799 -1.482 4.100
-0.681 2.877 3.302
Pb Ru Al
1 1 1
Cartesian
-2.762 0.914 4.583 Pb
-4.143 1.371 6.875 Ru
0.000 0.000 0.000 Al



No. 20
PBE BeHgW2, optimized geometry; energy above the most stable polymorph in this dataset = 1.07 eV per formula unit; formation enthalpy at 0 K = 2.84 eV/f.u.; space group = R-3m
1.0
9.167 -0.021 -0.012
8.731 2.793 -0.012
8.731 1.352 2.444
Be Hg W
1 1 2
Cartesian
6.657 1.031 0.605 Be
19.971 3.094 1.815 Hg
26.393 4.088 2.398 W
13.550 2.099 1.231 W



These records have density of states at the Fermi level values of 26.4, 3.2, 12.1, 1.6, 2.1, 4.8, 2.5, 3.9, 6.6, 5.1, 9.0, 3.6, 2.8, 13.6, 1.3, 7.8, 3.8, 6.2, 2.1, 2.8 states/eV/cell, in the order they appear.